# RbAgB2Cl8 (PBE, relaxed)
data_RbAgB2Cl8
_chemical_formula_sum 'Rb3 Ag3 B6 Cl24'
_cell_length_a 6.1768
_cell_length_b 6.1768
_cell_length_c 28.1931
_cell_angle_alpha 90.00
_cell_angle_beta 90.00
_cell_angle_gamma 120.00
_symmetry_space_group_name_H-M 'R -3'
_symmetry_Int_Tables_number 148
_symmetry_space_group_name_Hall '-R 3'
loop_
_atom_site_label
_atom_site_fract_x
_atom_site_fract_y
_atom_site_fract_z
_atom_site_occupancy
Rb1 0.0000 0.0000 0.0000 1
Ag1 0.0000 0.0000 0.5000 1
B1 0.0000 0.0000 0.2480 1
Cl1 0.0000 0.0000 0.3141 1
Cl2 0.0132 0.2929 0.7732 1
# M_tot	0.00	μB/cell
# final energy	-44.47	eV per formula unit
# DOS(E_F)	0.00	states/eV/f.u.

# Rb2AgBCl6 (PBE, relaxed)
data_Rb2AgBCl6
_chemical_formula_sum 'Rb4 Ag2 B2 Cl12'
_cell_length_a 7.099
_cell_length_b 7.099
_cell_length_c 11.081
_cell_angle_alpha 90.00
_cell_angle_beta 90.00
_cell_angle_gamma 90.00
_symmetry_space_group_name_H-M 'I 4/m m m'
_symmetry_Int_Tables_number 139
_symmetry_space_group_name_Hall '-I 4 2'
loop_
_atom_site_label
_atom_site_fract_x
_atom_site_fract_y
_atom_site_fract_z
_atom_site_occupancy
Rb1 0.000 0.500 0.250 1
Ag1 0.000 0.000 0.000 1
B1 0.000 0.000 0.500 1
Cl1 0.000 0.000 0.218 1
Cl2 0.198 0.198 0.500 1
# M_tot	0.00	μB/cell
# final energy	-32.24	eV per formula unit
# DOS(E_F)	0.00	states/eV/f.u.

# AgBSCl2 (PBE, relaxed)
data_AgBSCl2
_chemical_formula_sum 'Ag1 B1 S1 Cl2'
_cell_length_a 4.987
_cell_length_b 4.987
_cell_length_c 4.926
_cell_angle_alpha 90.00
_cell_angle_beta 90.00
_cell_angle_gamma 90.00
_symmetry_space_group_name_H-M 'P 4/m m m'
_symmetry_Int_Tables_number 123
_symmetry_space_group_name_Hall '-P 4 2'
loop_
_atom_site_label
_atom_site_fract_x
_atom_site_fract_y
_atom_site_fract_z
_atom_site_occupancy
Ag1 0.000 0.000 0.000 1
B1 0.500 0.500 0.500 1
S1 0.000 0.000 0.500 1
Cl1 0.000 0.500 0.000 1
# M_tot	0.80	μB/cell
# final energy	-11.95	eV per formula unit
# DOS(E_F)	4.91	states/eV/f.u.
# distance to the lowest polymorph of the same formula	728	meV/atom

# AgBSCl2 (PBE, relaxed)
data_AgBSCl2
_chemical_formula_sum 'Ag1 B1 S1 Cl2'
_cell_length_a 5.198
_cell_length_b 5.198
_cell_length_c 3.529
_cell_angle_alpha 90.00
_cell_angle_beta 90.00
_cell_angle_gamma 90.00
_symmetry_space_group_name_H-M 'P 4/m m m'
_symmetry_Int_Tables_number 123
_symmetry_space_group_name_Hall '-P 4 2'
loop_
_atom_site_label
_atom_site_fract_x
_atom_site_fract_y
_atom_site_fract_z
_atom_site_occupancy
Ag1 0.000 0.000 0.000 1
B1 0.500 0.500 0.500 1
S1 0.500 0.500 0.000 1
Cl1 0.000 0.500 0.500 1
# M_tot	0.00	μB/cell
# final energy	-15.59	eV per formula unit
# DOS(E_F)	0.94	states/eV/f.u.
# distance to the lowest polymorph of the same formula	0	meV/atom

# AgB2SeCl (PBE, relaxed)
data_AgB2SeCl
_chemical_formula_sum 'Ag1 B2 Se1 Cl1'
_cell_length_a 4.150
_cell_length_b 4.150
_cell_length_c 5.245
_cell_angle_alpha 90.00
_cell_angle_beta 90.00
_cell_angle_gamma 90.00
_symmetry_space_group_name_H-M 'P 4/m m m'
_symmetry_Int_Tables_number 123
_symmetry_space_group_name_Hall '-P 4 2'
loop_
_atom_site_label
_atom_site_fract_x
_atom_site_fract_y
_atom_site_fract_z
_atom_site_occupancy
Ag1 0.000 0.000 0.000 1
B1 0.000 0.500 0.500 1
Se1 0.500 0.500 0.000 1
Cl1 0.000 0.000 0.500 1
# M_tot	0.00	μB/cell
# final energy	-12.77	eV per formula unit
# DOS(E_F)	1.18	states/eV/f.u.

# TlAgB2Cl8 (PBE, relaxed)
data_TlAgB2Cl8
_chemical_formula_sum 'Tl3 Ag3 B6 Cl24'
_cell_length_a 6.1460
_cell_length_b 6.1460
_cell_length_c 27.6554
_cell_angle_alpha 90.00
_cell_angle_beta 90.00
_cell_angle_gamma 120.00
_symmetry_space_group_name_H-M 'R -3'
_symmetry_Int_Tables_number 148
_symmetry_space_group_name_Hall '-R 3'
loop_
_atom_site_label
_atom_site_fract_x
_atom_site_fract_y
_atom_site_fract_z
_atom_site_occupancy
Tl1 0.0000 0.0000 0.0000 1
Ag1 0.0000 0.0000 0.5000 1
B1 0.0000 0.0000 0.2499 1
Cl1 0.0000 0.0000 0.3171 1
Cl2 0.0157 0.2953 0.7719 1
# M_tot	0.00	μB/cell
# final energy	-43.79	eV per formula unit
# DOS(E_F)	0.00	states/eV/f.u.

# VAgBCl2 (PBE, relaxed)
data_VAgBCl2
_chemical_formula_sum 'V1 Ag1 B1 Cl2'
_cell_length_a 4.878
_cell_length_b 4.878
_cell_length_c 5.306
_cell_angle_alpha 90.00
_cell_angle_beta 90.00
_cell_angle_gamma 90.00
_symmetry_space_group_name_H-M 'P 4/m m m'
_symmetry_Int_Tables_number 123
_symmetry_space_group_name_Hall '-P 4 2'
loop_
_atom_site_label
_atom_site_fract_x
_atom_site_fract_y
_atom_site_fract_z
_atom_site_occupancy
V1 0.000 0.000 0.000 1
Ag1 0.000 0.000 0.500 1
B1 0.500 0.500 0.000 1
Cl1 0.000 0.500 0.500 1
# M_tot	0.19	μB/cell
# final energy	-13.98	eV per formula unit
# DOS(E_F)	7.62	states/eV/f.u.

# ZnAgB2Cl (PBE, relaxed)
data_ZnAgB2Cl
_chemical_formula_sum 'Zn1 Ag1 B2 Cl1'
_cell_length_a 3.857
_cell_length_b 3.857
_cell_length_c 6.201
_cell_angle_alpha 90.00
_cell_angle_beta 90.00
_cell_angle_gamma 90.00
_symmetry_space_group_name_H-M 'P 4/m m m'
_symmetry_Int_Tables_number 123
_symmetry_space_group_name_Hall '-P 4 2'
loop_
_atom_site_label
_atom_site_fract_x
_atom_site_fract_y
_atom_site_fract_z
_atom_site_occupancy
Zn1 0.000 0.000 0.000 1
Ag1 0.000 0.000 0.500 1
B1 0.000 0.500 0.000 1
Cl1 0.500 0.500 0.500 1
# M_tot	0.00	μB/cell
# final energy	-13.53	eV per formula unit
# DOS(E_F)	0.92	states/eV/f.u.

# CoAg2B2 (PBE, relaxed)
data_CoAg2B2
_chemical_formula_sum 'Co2 Ag4 B4'
_cell_length_a 2.727
_cell_length_b 2.727
_cell_length_c 16.453
_cell_angle_alpha 90.00
_cell_angle_beta 90.00
_cell_angle_gamma 90.00
_symmetry_space_group_name_H-M 'I 4/m m m'
_symmetry_Int_Tables_number 139
_symmetry_space_group_name_Hall '-I 4 2'
loop_
_atom_site_label
_atom_site_fract_x
_atom_site_fract_y
_atom_site_fract_z
_atom_site_occupancy
Co1 0.000 0.000 0.000 1
Ag1 0.000 0.000 0.379 1
B1 0.000 0.500 0.250 1
# ΔH_f (0 K)	0.827	eV/atom
# M_tot	3.63	μB/cell
# final energy	-22.03	eV per formula unit
# DOS(E_F)	4.03	states/eV/f.u.
# distance to the lowest polymorph of the same formula	0	meV/atom

# CoAg3B (PBE, relaxed)
data_CoAg3B
_chemical_formula_sum 'Co1 Ag3 B1'
_cell_length_a 4.805
_cell_length_b 4.805
_cell_length_c 4.805
_cell_angle_alpha 90.00
_cell_angle_beta 90.00
_cell_angle_gamma 90.00
_symmetry_space_group_name_H-M 'P m -3 m'
_symmetry_Int_Tables_number 221
_symmetry_space_group_name_Hall '-P 4 2 3'
loop_
_atom_site_label
_atom_site_fract_x
_atom_site_fract_y
_atom_site_fract_z
_atom_site_occupancy
Co1 0.000 0.000 0.000 1
Ag1 0.000 0.000 0.500 1
B1 0.500 0.500 0.500 1
# ΔH_f (0 K)	1.784	eV/atom
# M_tot	1.93	μB/cell
# final energy	-13.42	eV per formula unit
# DOS(E_F)	13.19	states/eV/f.u.
# distance to the lowest polymorph of the same formula	987	meV/atom

# CoAgB3 (PBE, relaxed)
data_CoAgB3
_chemical_formula_sum 'Co1 Ag1 B3'
_cell_length_a 4.091
_cell_length_b 4.091
_cell_length_c 4.091
_cell_angle_alpha 90.00
_cell_angle_beta 90.00
_cell_angle_gamma 90.00
_symmetry_space_group_name_H-M 'P m -3 m'
_symmetry_Int_Tables_number 221
_symmetry_space_group_name_Hall '-P 4 2 3'
loop_
_atom_site_label
_atom_site_fract_x
_atom_site_fract_y
_atom_site_fract_z
_atom_site_occupancy
Co1 0.000 0.000 0.000 1
Ag1 0.500 0.500 0.500 1
B1 0.000 0.500 0.500 1
# ΔH_f (0 K)	2.358	eV/atom
# M_tot	1.29	μB/cell
# final energy	-18.20	eV per formula unit
# DOS(E_F)	4.54	states/eV/f.u.
# distance to the lowest polymorph of the same formula	1442	meV/atom

# CoAg2B (PBE, relaxed)
data_CoAg2B
_chemical_formula_sum 'Co4 Ag8 B4'
_cell_length_a 5.975
_cell_length_b 5.975
_cell_length_c 5.975
_cell_angle_alpha 90.00
_cell_angle_beta 90.00
_cell_angle_gamma 90.00
_symmetry_space_group_name_H-M 'F m -3 m'
_symmetry_Int_Tables_number 225
_symmetry_space_group_name_Hall '-F 4 2 3'
loop_
_atom_site_label
_atom_site_fract_x
_atom_site_fract_y
_atom_site_fract_z
_atom_site_occupancy
Co1 0.000 0.000 0.000 1
Ag1 0.250 0.250 0.250 1
B1 0.000 0.000 0.500 1
# ΔH_f (0 K)	1.008	eV/atom
# M_tot	6.50	μB/cell
# final energy	-15.45	eV per formula unit
# DOS(E_F)	3.59	states/eV/f.u.
# distance to the lowest polymorph of the same formula	0	meV/atom